Entry 1:
MgIr2Ru2: optimized geometry, PBE.

Unit cell a=7.5314 b=7.5314 c=2.7805 alpha=90.00 beta=90.00 gamma=90.00
With the nearest neighbours (Å) after each atom.
Fractional positions:
Ru: 0.1742 0.6742 0.5000  6 Ir 2.57-2.66, 2 Ru 2.78
Ru: 0.6742 0.8258 0.5000  6 Ir 2.57-2.66, 2 Ru 2.78
Ru: 0.8258 0.3258 0.5000  6 Ir 2.57-2.66, 2 Ru 2.78
Ru: 0.3258 0.1742 0.5000  6 Ir 2.57-2.66, 2 Ru 2.78
Mg: 0.0000 0.0000 0.0000  2 Mg 2.78, 4 Ir 2.99, 8 Ru 3.11
Mg: 0.5000 0.5000 0.0000  2 Mg 2.78, 4 Ir 2.99, 8 Ru 3.11
Ir: 0.3772 0.8772 0.0000  6 Ru 2.57-2.66, 3 Ir 2.62-2.78
Ir: 0.8772 0.6228 0.0000  6 Ru 2.57-2.66, 3 Ir 2.62-2.78
Ir: 0.6228 0.1228 0.0000  6 Ru 2.57-2.66, 3 Ir 2.62-2.78
Ir: 0.1228 0.3772 0.0000  6 Ru 2.57-2.66, 3 Ir 2.62-2.78

* calculated formation energy: 0.07 eV per atom
* VASP energy: -7.507 eV per atom


Entry 2:
Ac8InSn5: optimized geometry, PBE.

Unit cell a=8.8338 b=8.8338 c=8.8338 alpha=109.52 beta=109.38 gamma=109.52
With the nearest neighbours (Å) after each atom.
Fractional positions:
Ac: 0.1270 0.7534 0.0169  5 Sn 3.38-3.70, 1 In 3.40
Ac: 0.9831 0.1101 0.7365  5 Sn 3.38-3.70, 1 In 3.40
Ac: 0.7606 0.2461 0.3707  5 Sn 3.37-3.68, 1 In 3.72
Ac: 0.6293 0.3899 0.8754  5 Sn 3.37-3.68, 1 In 3.72
Ac: 0.4855 0.6101 0.2394  5 Sn 3.37-3.68, 1 In 3.72
Ac: 0.6264 0.8899 0.8730  5 Sn 3.38-3.70, 1 In 3.40
Ac: 0.2635 0.2466 0.3736  5 Sn 3.38-3.70, 1 In 3.40
Ac: 0.1246 0.7539 0.5145  5 Sn 3.37-3.68, 1 In 3.72
In: 0.2500 0.5000 0.7500  8 Ac 3.40-3.72
Sn: 0.0018 0.3768 0.1280  8 Ac 3.37-3.70
Sn: 0.8720 0.8738 0.2487  8 Ac 3.37-3.70
Sn: 0.7513 0.6232 0.6251  8 Ac 3.37-3.70
Sn: 0.5000 0.0000 0.5000  8 Ac 3.37-3.67
Sn: 0.3749 0.1262 0.9982  8 Ac 3.37-3.70

* calculated formation energy: -0.62 eV per atom
* VASP energy: -4.596 eV per atom


Entry 3:
In6Sn12Hg: optimized geometry, PBE.

Unit cell a=10.2607 b=10.2607 c=10.2607 alpha=113.24 beta=113.24 gamma=113.24
With the nearest neighbours (Å) after each atom.
Fractional positions:
In: 0.1726 0.2037 0.6785  4 Sn 2.92-3.21, 1 In 3.07
In: 0.7963 0.3215 0.8274  4 Sn 2.92-3.21, 1 In 3.07
In: 0.3215 0.8274 0.7963  4 Sn 2.92-3.21, 1 In 3.07
In: 0.8274 0.7963 0.3215  4 Sn 2.92-3.21, 1 In 3.07
In: 0.2037 0.6785 0.1726  4 Sn 2.92-3.21, 1 In 3.07
In: 0.6785 0.1726 0.2037  4 Sn 2.92-3.21, 1 In 3.07
Sn: 0.5193 0.2466 0.5026  3 Sn 2.91-2.93, 1 In 2.92
Sn: 0.2466 0.5026 0.5193  3 Sn 2.91-2.93, 1 In 2.92
Sn: 0.5026 0.5193 0.2466  3 Sn 2.91-2.93, 1 In 2.92
Sn: 0.4807 0.7534 0.4974  3 Sn 2.91-2.93, 1 In 2.92
Sn: 0.7534 0.4974 0.4807  3 Sn 2.91-2.93, 1 In 2.92
Sn: 0.4974 0.4807 0.7534  3 Sn 2.91-2.93, 1 In 2.92
Sn: 0.0591 0.8990 0.7178  1 Sn 2.93, 3 In 2.96-3.21, 1 Hg 3.06
Sn: 0.2822 0.9409 0.1010  1 Sn 2.93, 3 In 2.96-3.21, 1 Hg 3.06
Sn: 0.1010 0.2822 0.9409  1 Sn 2.93, 3 In 2.96-3.21, 1 Hg 3.06
Sn: 0.9409 0.1010 0.2822  1 Sn 2.93, 3 In 2.96-3.21, 1 Hg 3.06
Sn: 0.7178 0.0591 0.8990  1 Sn 2.93, 3 In 2.96-3.21, 1 Hg 3.06
Sn: 0.8990 0.7178 0.0591  1 Sn 2.93, 3 In 2.96-3.21, 1 Hg 3.06
Hg: 0.0000 0.0000 0.0000  6 Sn 3.06

* calculated formation energy: 0.21 eV per atom
* VASP energy: -3.200 eV per atom


Entry 4:
Fe2AgW: optimized geometry, PBE.

Unit cell a=4.2388 b=4.2388 c=4.2388 alpha=60.00 beta=60.00 gamma=60.00
With the nearest neighbours (Å) after each atom.
Fractional positions:
Ag: 0.0000 0.0000 0.0000  8 Fe 2.60
W: 0.5000 0.5000 0.5000  8 Fe 2.60
Fe: 0.2500 0.2500 0.2500  4 W 2.60, 4 Ag 2.60
Fe: 0.7500 0.7500 0.7500  4 W 2.60, 4 Ag 2.60

* calculated formation energy: 0.50 eV per atom
* VASP energy: -7.686 eV per atom


Entry 5:
CuPb2: optimized geometry, PBE.

Unit cell a=4.4940 b=7.4132 c=8.8997 alpha=90.00 beta=90.00 gamma=90.00
With the nearest neighbours (Å) after each atom.
Fractional positions:
Pb: 0.2500 0.0161 0.8416  3 Cu 2.97-3.01
Pb: 0.7500 0.4839 0.3416  3 Cu 2.97-3.01
Pb: 0.2500 0.5161 0.6584  3 Cu 2.97-3.01
Pb: 0.7500 0.9839 0.1584  3 Cu 2.97-3.01
Pb: 0.2500 0.1423 0.4239  4 Cu 2.87-2.94
Pb: 0.7500 0.3577 0.9239  4 Cu 2.87-2.94
Pb: 0.2500 0.6423 0.0761  4 Cu 2.87-2.94
Pb: 0.7500 0.8577 0.5761  4 Cu 2.87-2.94
Cu: 0.2500 0.7489 0.3863  7 Pb 2.87-3.01
Cu: 0.7500 0.7511 0.8863  7 Pb 2.87-3.01
Cu: 0.2500 0.2489 0.1137  7 Pb 2.87-3.01
Cu: 0.7500 0.2511 0.6137  7 Pb 2.87-3.01

* calculated formation energy: 0.16 eV per atom
* VASP energy: -3.677 eV per atom


Entry 6:
AcThAu2: optimized geometry, PBE.

Unit cell a=3.8170 b=3.8170 c=7.6326 alpha=90.00 beta=90.00 gamma=90.00
With the nearest neighbours (Å) after each atom.
Fractional positions:
Ac: 0.5000 0.5000 0.5000  8 Au 3.42, 2 Th 3.82, 4 Ac 3.82
Au: 0.0000 0.0000 0.7751  4 Th 3.20, 4 Ac 3.42, 1 Au 3.43
Au: 0.0000 0.0000 0.2249  4 Th 3.20, 4 Ac 3.42, 1 Au 3.43
Th: 0.5000 0.5000 0.0000  8 Au 3.20

* calculated formation energy: -0.64 eV per atom
* VASP energy: -5.161 eV per atom


Entry 7:
Ba2HfCuS5: optimized geometry, PBE.

Unit cell a=3.9306 b=9.3191 c=12.6493 alpha=90.00 beta=90.00 gamma=102.17
With the nearest neighbours (Å) after each atom.
Fractional positions:
Ba: 0.8746 0.7492 0.8218  7 S 3.09-3.31
Ba: 0.1204 0.2408 0.6960  7 S 3.11-3.34
Ba: 0.1254 0.2508 0.3218  7 S 3.09-3.31
Ba: 0.8796 0.7592 0.1960  7 S 3.11-3.34
Hf: 0.7966 0.5933 0.5152  6 S 2.49-2.62
Hf: 0.2034 0.4067 0.0152  6 S 2.49-2.62
Cu: 0.5587 0.1174 0.9398  3 S 2.23-2.26
Cu: 0.4413 0.8826 0.4398  3 S 2.23-2.26
S: 0.3398 0.6796 0.0109  1 Hf 2.49
S: 0.6973 0.3945 0.8785  2 Hf 2.62, 1 Cu 2.64
S: 0.5029 0.0058 0.7834  1 Cu 2.23
S: 0.2963 0.5926 0.6498  2 Hf 2.60
S: 0.9402 0.8804 0.5286  2 Cu 2.26
S: 0.6602 0.3204 0.5109  1 Hf 2.49
S: 0.3027 0.6055 0.3785  2 Hf 2.62, 1 Cu 2.64
S: 0.4971 0.9942 0.2834  1 Cu 2.23
S: 0.7037 0.4074 0.1498  2 Hf 2.60
S: 0.0598 0.1196 0.0286  2 Cu 2.26

* VASP energy: -5.761 eV per atom


Entry 8:
SrTlPRu: optimized geometry, PBE.

Unit cell a=3.7914 b=3.7914 c=7.5978 alpha=90.00 beta=90.00 gamma=120.00
With the nearest neighbours (Å) after each atom.
Fractional positions:
Sr: 0.3333 0.6667 0.1925  3 P 2.99
Tl: 0.0000 0.0000 0.5452  1 P 2.87, 3 Ru 3.09
P: 0.0000 0.0000 0.9236  3 Ru 2.30
Ru: 0.6667 0.3333 0.8320  3 P 2.30

* calculated formation energy: -0.40 eV per atom
* VASP energy: -5.087 eV per atom


Entry 9:
ErPaIn: optimized geometry, PBE.

Unit cell a=3.0881 b=5.3428 c=5.3428 alpha=120.00 beta=90.00 gamma=90.00
With the nearest neighbours (Å) after each atom.
Fractional positions:
Pa: 0.1709 0.6667 0.3333  3 Er 3.08, 2 Pa 3.09, 6 In 3.45
In: 0.6684 0.3333 0.6667  2 In 3.09, 3 Er 3.44, 6 Pa 3.45
Er: 0.1607 0.0000 0.0000  3 Pa 3.08, 2 Er 3.09, 3 In 3.44

* calculated formation energy: 0.21 eV per atom
* VASP energy: -5.392 eV per atom


Entry 10:
CrRu2Br: optimized geometry, PBE.

Unit cell a=4.6614 b=4.6614 c=4.6614 alpha=129.02 beta=129.02 gamma=74.98
With the nearest neighbours (Å) after each atom.
Fractional positions:
Br: 0.2500 0.7500 0.5000  8 Ru 2.73, 4 Cr 2.84
Cr: 0.7500 0.2500 0.5000  8 Ru 2.73, 4 Br 2.84
Ru: 0.0000 0.0000 0.0000  4 Cr 2.73, 4 Br 2.73, 4 Ru 2.84
Ru: 0.5000 0.5000 0.0000  4 Cr 2.73, 4 Br 2.73, 4 Ru 2.84

* VASP energy: -6.596 eV per atom


Entry 11:
YMgRe2: optimized geometry, PBE.

Unit cell a=5.2307 b=5.2307 c=4.9154 alpha=69.42 beta=69.42 gamma=43.01
With the nearest neighbours (Å) after each atom.
Fractional positions:
Mg: 0.2500 0.2500 0.2500  6 Re 2.85-2.91, 4 Y 3.12
Re: 0.9921 0.9921 0.1075  2 Re 2.41
Re: 0.5079 0.5079 0.3925  2 Re 2.41
Y: 0.7500 0.7500 0.7500  4 Mg 3.12, 8 Re 3.12-3.43

* calculated formation energy: 0.36 eV per atom
* VASP energy: -7.876 eV per atom


Entry 12:
Co2CuNi: optimized geometry, PBE.

Unit cell a=2.4974 b=3.5406 c=5.0256 alpha=90.00 beta=90.00 gamma=90.00
With the nearest neighbours (Å) after each atom.
Fractional positions:
Ni: 0.5000 0.5000 0.7513  6 Co 2.46-2.57, 2 Ni 2.50, 4 Cu 2.50
Co: 0.0000 0.0000 0.0057  6 Co 2.47-2.50, 2 Cu 2.50-2.53, 4 Ni 2.52
Co: 0.5000 0.5000 0.2404  2 Ni 2.46-2.57, 6 Co 2.47-2.50, 4 Cu 2.54
Cu: 0.0000 0.0000 0.5026  6 Co 2.50-2.54, 2 Cu 2.50, 4 Ni 2.50

* calculated formation energy: 0.07 eV per atom
* VASP energy: -5.956 eV per atom